1.
## Ba3Tl2Br8 (PBE)

Data for Ba3Tl2Br8 after structural relaxation.

Computed properties:
Crystal system: monoclinic
DFT total energy in eV for the cell shown: -46.35
ΔE_f (raw) in meV per atom: -1728

a = 9.943 Å, b = 5.540 Å, c = 9.956 Å
α = 90.00°, β = 108.39°, γ = 90.00°
Space group P2/m (No. 10)
One atom of each set of equivalent atoms:
1 Ba 0.000 0.000 0.000 x1
2 Ba 0.281 0.500 0.281 x2
3 Tl 0.267 0.000 0.733 x2
4 Br 0.113 0.500 0.888 x2
5 Br 0.122 0.000 0.355 x2
6 Br 0.355 0.000 0.123 x2
7 Br 0.376 0.500 0.623 x2

---

2.
## Y5HoRh6 (PBE)

Data for Y5HoRh6 after structural relaxation.

Computed properties:
Crystal system: monoclinic
Energy relative to the elements in eV/atom: -0.85
DFT total energy in eV for the cell shown: -91.24

a = 4.842 Å, b = 6.897 Å, c = 7.659 Å
α = 90.00°, β = 108.37°, γ = 90.00°
Space group P2/m (No. 10)
One atom of each set of equivalent atoms:
1 Y 0.000 0.000 0.000 x1
2 Y 0.333 0.000 0.667 x2
3 Y 0.333 0.500 0.667 x2
4 Ho 0.000 0.500 0.000 x1
5 Rh 0.166 0.251 0.332 x4
6 Rh 0.500 0.252 0.000 x2

---

3.
## Li2GeI (PBE)

Data for Li2GeI after structural relaxation.

Computed properties:
Crystal system: tetragonal
DFT total energy in eV for the cell shown: -43.72
ΔE_f (raw) in meV per atom: -234
E above lowest polymorph in meV/atom: 0

a = 7.558 Å, b = 7.558 Å, c = 6.480 Å
α = 90.00°, β = 90.00°, γ = 90.00°
Space group I-42d (No. 122)
One atom of each set of equivalent atoms:
1 Li 0.248 0.250 0.125 x8
2 Ge 0.000 0.000 0.000 x4
3 I 0.000 0.000 0.500 x4